Material: NaGe2Rh2
Method: DFT, GGA-PBE
State: optimized geometry

The structure in POSCAR format:
```
NaGe2Rh2
1.0
7.468 0.000 0.000
0.000 7.468 0.000
0.000 0.000 2.852
Na Ge Rh
2 4 4
Cartesian
0.000 0.000 0.000
3.734 3.734 0.000
1.155 4.889 1.426
4.889 6.313 1.426
6.313 2.579 1.426
2.579 1.155 1.426
2.690 6.424 0.000
6.424 4.778 0.000
4.778 1.044 0.000
1.044 2.690 0.000
```

Properties
DOS at the Fermi energy   0.3786 states/eV per atom
Symmetry   P4/mbm (127)
ΔE_f   -0.400 eV/atom
E above lowest polymorph   0.1117 eV/atom


Material: Na2Ge4Rh5
Method: DFT, GGA-PBE
State: optimized geometry

The structure in POSCAR format:
```
Na2Ge4Rh5
1.0
5.801 0.000 0.000
2.901 5.098 0.000
2.901 0.000 6.913
Na Ge Rh
2 4 5
Cartesian
5.801 0.000 1.645
2.901 0.000 5.267
5.801 1.575 5.100
5.801 3.523 1.813
2.901 1.575 1.813
8.702 3.523 5.100
2.901 0.000 0.000
1.450 2.549 0.000
4.351 2.549 0.000
4.351 2.549 3.456
7.252 2.549 3.456
```

Properties
DOS at the Fermi energy   0.2214 states/eV per atom
Symmetry   Fmmm (69)
ΔE_f   -0.419 eV/atom


Material: NaGe3Rh3
Method: DFT, GGA-PBE
State: optimized geometry

The structure in POSCAR format:
```
NaGe3Rh3
1.0
-2.534 6.083 -1.489
-5.707 -2.904 -2.152
-2.577 0.451 6.228
Na Ge Rh
2 6 6
Cartesian
-5.409 1.815 1.294
0.000 0.000 0.000
-2.715 -0.501 2.576
-5.569 -1.953 1.501
-3.200 3.379 3.927
-4.754 3.110 -2.192
-1.911 3.154 0.813
-3.487 0.069 -1.448
-1.922 1.746 2.742
-3.498 -1.339 0.481
-5.548 0.863 -2.358
-3.189 4.787 1.998
-4.787 -1.114 3.596
-2.694 2.315 -1.282
```

Properties
DOS at the Fermi energy   0.4472 states/eV per atom
Symmetry   Pm-3n (223)
ΔE_f   -0.163 eV/atom


Material: NaGeRh3
Method: DFT, GGA-PBE
State: optimized geometry

The structure in POSCAR format:
```
NaGeRh3
1.0
4.480 0.000 0.000
0.000 4.480 0.000
0.000 0.000 4.480
Na Ge Rh
1 1 3
Cartesian
0.000 0.000 0.000
2.240 2.240 2.240
0.000 2.240 0.000
0.000 0.000 2.240
2.240 0.000 0.000
```

Properties
DOS at the Fermi energy   0.7968 states/eV per atom
Symmetry   Pm-3m (221)
ΔE_f   1.509 eV/atom


Material: Na2Ge6Rh
Method: DFT, GGA-PBE
State: optimized geometry

The structure in POSCAR format:
```
Na2Ge6Rh
1.0
-0.167 -0.134 5.916
-5.398 -2.155 -0.200
-0.834 -5.753 -0.153
Na Ge Rh
2 6 1
Cartesian
-4.300 -5.388 4.940
-2.099 -2.654 0.623
-2.586 -5.550 1.718
-5.223 -6.603 1.620
-4.816 -3.792 1.695
-3.813 -2.492 3.845
-1.176 -1.439 3.943
-1.583 -4.250 3.868
0.000 0.000 0.000
```

Properties
DOS at the Fermi energy   0.3005 states/eV per atom
Symmetry   P-3m1 (164)
ΔE_f   -0.129 eV/atom


Material: NaGe2Rh
Method: DFT, GGA-PBE
State: optimized geometry

The structure in POSCAR format:
```
NaGe2Rh
1.0
-2.395 3.466 -0.365
-2.311 1.329 3.283
2.497 4.581 2.627
Na Ge Rh
1 2 1
Cartesian
-1.105 4.688 2.772
-1.042 1.985 1.187
-1.167 7.392 4.358
0.000 0.000 0.000
```

Properties
DOS at the Fermi energy   0.8206 states/eV per atom
Symmetry   R-3m (166)
ΔE_f   -0.194 eV/atom
E above lowest polymorph   0.0619 eV/atom


Material: Na2GeRh
Method: DFT, GGA-PBE
State: optimized geometry

The structure in POSCAR format:
```
Na2GeRh
1.0
3.737 0.000 0.000
0.000 3.737 0.000
1.868 1.868 10.663
Na Ge Rh
4 2 2
Cartesian
2.817 0.934 2.666
0.920 2.803 2.666
2.803 2.788 7.997
4.671 4.685 7.997
1.868 1.868 0.000
1.868 3.737 5.331
0.000 0.000 0.000
3.737 1.868 5.331
```

Properties
DOS at the Fermi energy   0.5960 states/eV per atom
Symmetry   I-42d (122)
ΔE_f   0.167 eV/atom


Material: Na3GeRh
Method: DFT, GGA-PBE
State: optimized geometry

The structure in POSCAR format:
```
Na3GeRh
1.0
-2.897 4.159 -1.249
-2.333 -2.757 -3.769
-3.662 -1.534 3.388
Na Ge Rh
3 1 1
Cartesian
-1.166 -1.378 -1.885
-1.831 -0.767 1.694
-1.448 2.079 -0.624
-4.446 -0.066 -0.815
0.000 0.000 0.000
```

Properties
DOS at the Fermi energy   0.5366 states/eV per atom
Symmetry   Pm-3m (221)
ΔE_f   0.755 eV/atom


Material: NaSrGeRh
Method: DFT, GGA-PBE
State: optimized geometry

The structure in POSCAR format:
```
NaSrGeRh
1.0
-3.278 1.137 -2.458
-2.668 -0.693 3.238
1.333 11.574 3.576
Na Sr Ge Rh
2 2 2 2
Cartesian
-2.154 5.552 3.602
-2.459 6.467 0.754
-4.175 2.802 1.347
-0.438 9.216 3.008
-3.271 10.657 3.774
-1.343 1.361 0.581
-3.126 0.680 -1.034
-2.821 -0.235 1.814
```

Properties
DOS at the Fermi energy   0.7607 states/eV per atom
Symmetry   P4/nmm (129)
ΔE_f   -0.458 eV/atom


Material: NaGe2TeRh
Method: DFT, GGA-PBE
State: optimized geometry

The structure in POSCAR format:
```
NaGe2TeRh
1.0
5.321 0.000 0.000
0.000 5.268 0.000
0.000 0.000 5.321
Na Ge Te Rh
1 2 1 1
Cartesian
0.000 2.634 0.000
0.000 0.000 2.661
2.661 0.000 0.000
0.000 0.000 0.000
2.661 2.634 2.661
```

Properties
DOS at the Fermi energy   0.7182 states/eV per atom
Symmetry   P4/mmm (123)
Energy relative to the elements, uncorrected   1.1339 eV per atom


Material: Na3GeRu
Method: DFT, GGA-PBE
State: optimized geometry

The structure in POSCAR format:
```
Na3GeRu
1.0
5.435 0.000 0.000
0.000 5.435 0.000
0.000 0.000 5.435
Ru Ge Na
1 1 3
Cartesian
2.717 2.717 2.717
0.000 0.000 0.000
0.000 2.717 0.000
0.000 0.000 2.717
2.717 0.000 0.000
```

Properties
DOS at the Fermi energy   3.0686 states/eV per atom
Symmetry   Pm-3m (221)
ΔE_f   1.194 eV/atom
E above lowest polymorph   0.0000 eV/atom


Material: NaGe2Ru
Method: DFT, GGA-PBE
State: optimized geometry

The structure in POSCAR format:
```
NaGe2Ru
1.0
5.636 0.000 0.000
0.000 5.636 0.000
2.818 2.818 7.465
Ru Ge Na
2 4 2
Cartesian
0.000 0.000 0.000
5.636 2.818 3.732
5.466 1.409 1.866
5.805 4.227 1.866
4.227 2.987 5.599
7.045 2.648 5.599
2.818 2.818 0.000
2.818 5.636 3.732
```

Properties
DOS at the Fermi energy   0.7900 states/eV per atom
Symmetry   I-42d (122)
ΔE_f   0.144 eV/atom
E above lowest polymorph   0.3168 eV/atom